Record 1
First-principles (meta-GGA SCAN) data for CsGd2Ag3Te5 at its PBEsol-relaxed geometry, as listed in Alexandria via LeMat-Bulk.

Properties
- E_form (uncorrected) (eV per atom) = -0.979
- DFT total energy (eV/atom) = -40.60
- M_tot (Bohr magnetons per cell) = 28.00

a b c (Å): 8.2945 8.2945 18.3211
angles (deg): 90.00 90.00 148.43
Last column: nearest neighbours and their distance in Å.
Fractional coordinates of all 22 atoms:
Cs 0.0577 0.9423 0.7500  8 Te 3.73-3.79, 2 Ag 4.12
Cs 0.9423 0.0577 0.2500  8 Te 3.73-3.79, 2 Ag 4.12
Gd 0.1907 0.8093 0.0931  6 Te 3.05-3.13
Gd 0.1907 0.8093 0.4069  6 Te 3.05-3.13
Gd 0.8093 0.1907 0.5931  6 Te 3.05-3.13
Gd 0.8093 0.1907 0.9069  6 Te 3.05-3.13
Ag 0.3414 0.6586 0.7500  4 Te 2.73-2.86
Ag 0.4132 0.5868 0.0307  4 Te 2.78-2.86, 1 Ag 2.99
Ag 0.4132 0.5868 0.4693  4 Te 2.78-2.86, 1 Ag 2.99
Ag 0.5868 0.4132 0.5307  4 Te 2.78-2.86, 1 Ag 2.99
Ag 0.5868 0.4132 0.9693  4 Te 2.78-2.86, 1 Ag 2.99
Ag 0.6586 0.3414 0.2500  4 Te 2.73-2.86
Te 0.1751 0.8249 0.5741  2 Ag 2.78, 1 Gd 3.07
Te 0.1751 0.8249 0.9259  2 Ag 2.78, 1 Gd 3.07
Te 0.2553 0.7447 0.2500  2 Ag 2.73, 2 Gd 3.05
Te 0.4396 0.5604 0.6197  3 Ag 2.79-2.86, 2 Gd 3.11
Te 0.4396 0.5604 0.8803  3 Ag 2.79-2.86, 2 Gd 3.11
Te 0.5604 0.4396 0.1197  3 Ag 2.79-2.86, 2 Gd 3.11
Te 0.5604 0.4396 0.3803  3 Ag 2.79-2.86, 2 Gd 3.11
Te 0.7447 0.2553 0.7500  2 Ag 2.73, 2 Gd 3.05
Te 0.8249 0.1751 0.0741  2 Ag 2.78, 1 Gd 3.07
Te 0.8249 0.1751 0.4259  2 Ag 2.78, 1 Gd 3.07

Record 2
First-principles (meta-GGA SCAN) data for CsAgH2 at its PBEsol-relaxed geometry, as listed in Alexandria via LeMat-Bulk.

Properties
- DFT total energy (eV/atom) = -19.16
- M_tot (Bohr magnetons per cell) = 0.00

a b c (Å): 5.9548 5.9548 8.2213
angles (deg): 90.00 90.00 90.00
Last column: nearest neighbours and their distance in Å.
Fractional coordinates of all 16 atoms:
Cs 0.0000 0.0000 0.0000  8 H 3.26-3.43, 4 Ag 3.62, 4 Cs 3.62
Cs 0.0000 0.5000 0.2500  8 H 3.26-3.43, 4 Cs 3.62, 4 Ag 3.62
Cs 0.5000 0.0000 0.7500  8 H 3.26-3.43, 4 Ag 3.62, 4 Cs 3.62
Cs 0.5000 0.5000 0.5000  8 H 3.26-3.43, 4 Ag 3.62, 4 Cs 3.62
Ag 0.0000 0.0000 0.5000  4 H 1.83
Ag 0.0000 0.5000 0.7500  4 H 1.83
Ag 0.5000 0.0000 0.2500  4 H 1.83
Ag 0.5000 0.5000 0.0000  4 H 1.83
H 0.0438 0.7500 0.6250  2 Ag 1.83
H 0.2500 0.0438 0.3750  2 Ag 1.83
H 0.2500 0.4562 0.8750  2 Ag 1.83
H 0.4562 0.7500 0.1250  2 Ag 1.83
H 0.5438 0.2500 0.1250  2 Ag 1.83
H 0.7500 0.5438 0.8750  2 Ag 1.83
H 0.7500 0.9562 0.3750  2 Ag 1.83
H 0.9562 0.2500 0.6250  2 Ag 1.83